No. 1
## KBaLi (GGA-PBE)

Data for an optimized crystal structure of KBaLi.

Size of the total moment ... 0.01 μB/cell
Space group ... P3m1
DOS at the Fermi energy ... 1.0510 states/eV per atom
Formation enthalpy at 0 K ... 205 meV per atom
E above lowest polymorph ... 155 meV per atom
V ... 52.36 Å³ per atom

Unit cell a=6.448 b=6.448 c=4.363 alpha=90.00 beta=90.00 gamma=120.00
Element x y z (fractional)
K1 0.000 0.000 0.000
Ba1 0.667 0.333 0.499
Li1 0.333 0.667 0.996



No. 2
## NaLiTaSe2 (GGA-PBE)

Data for an optimized crystal structure of NaLiTaSe2.

Size of the total moment ... 1.82 μB/cell
Space group ... P4/mmm
DOS at the Fermi energy ... 0.8373 states/eV per atom
Formation energy from raw total energies ... 0.565 eV/atom
V ... 19.22 Å³ per atom

Unit cell a=5.037 b=5.037 c=3.789 alpha=90.00 beta=90.00 gamma=90.00
Element x y z (fractional)
Na1 0.000 0.000 0.000
Li1 0.000 0.000 0.500
Ta1 0.500 0.500 0.500
Se1 0.000 0.500 0.000
Se2 0.500 0.000 0.000



No. 3
## MgAgP (GGA-PBE)

Data for an optimized crystal structure of MgAgP.

Size of the total moment ... 0.00 μB/cell
Space group ... Pmn2_1
DOS at the Fermi energy ... 0.0000 states/eV per atom
Formation enthalpy at 0 K ... -276 meV per atom
V ... 19.93 Å³ per atom

Unit cell a=4.257 b=6.057 c=4.637 alpha=90.00 beta=90.00 gamma=90.00
Element x y z (fractional)
Mg1 0.000 0.034 0.000
Mg2 0.500 0.966 0.500
Ag1 0.000 0.552 0.835
Ag2 0.500 0.448 0.335
P1 0.000 0.221 0.500
P2 0.500 0.779 0.000



No. 4
## LiAcP2 (GGA-PBE)

Data for an optimized crystal structure of LiAcP2.

Size of the total moment ... 0.00 μB/cell
Space group ... P4/mmm
DOS at the Fermi energy ... 0.4384 states/eV per atom
Formation enthalpy at 0 K ... -587 meV per atom
E above lowest polymorph ... 298 meV per atom
V ... 22.75 Å³ per atom

Unit cell a=4.741 b=4.741 c=4.050 alpha=90.00 beta=90.00 gamma=90.00
Element x y z (fractional)
Li1 0.000 0.000 0.000
Ac1 0.500 0.500 0.000
P1 0.000 0.500 0.500
P2 0.500 0.000 0.500



No. 5
## Tb3HoEr2Bi6 (GGA-PBE)

Data for an optimized crystal structure of Tb3HoEr2Bi6.

Size of the total moment ... 0.00 μB/cell
Space group ... C2/m
DOS at the Fermi energy ... 0.1661 states/eV per atom
Formation enthalpy at 0 K ... -850 meV per atom
V ... 31.54 Å³ per atom

Unit cell a=9.989 b=9.989 c=8.937 alpha=102.85 beta=102.85 gamma=25.85
Element x y z (fractional)
Tb1 0.000 0.000 0.000
Tb2 0.333 0.333 0.667
Tb3 0.667 0.667 0.333
Ho1 0.000 0.000 0.500
Er1 0.333 0.333 0.167
Er2 0.667 0.667 0.833
Bi1 0.166 0.166 0.585
Bi2 0.167 0.167 0.081
Bi3 0.499 0.499 0.251
Bi4 0.501 0.501 0.749
Bi5 0.833 0.833 0.919
Bi6 0.834 0.834 0.415



No. 6
## Cd2MoP (GGA-PBE)

Data for an optimized crystal structure of Cd2MoP.

Size of the total moment ... 0.25 μB/cell
Space group ... P4mm
DOS at the Fermi energy ... 0.6082 states/eV per atom
Formation enthalpy at 0 K ... -28 meV per atom
V ... 18.44 Å³ per atom

Unit cell a=3.199 b=3.199 c=7.211 alpha=90.00 beta=90.00 gamma=90.00
Element x y z (fractional)
Cd1 0.000 0.000 0.000
Cd2 0.500 0.500 0.298
Mo1 0.000 0.000 0.584
P1 0.500 0.500 0.712



No. 7
## ZrNpSe2 (GGA-PBE)

Data for an optimized crystal structure of ZrNpSe2.

Size of the total moment ... 4.59 μB/cell
Space group ... R3m
DOS at the Fermi energy ... 2.4055 states/eV per atom
E above lowest polymorph ... 0 meV per atom
Formation energy from raw total energies ... -1.065 eV/atom
V ... 22.54 Å³ per atom

Unit cell a=7.378 b=7.378 c=7.378 alpha=30.22 beta=30.22 gamma=30.22
Element x y z (fractional)
Zr1 0.000 0.000 0.000
Np1 0.175 0.175 0.175
Se1 0.415 0.415 0.415
Se2 0.593 0.593 0.593



No. 8
## Pa3Ga2Cu4 (GGA-PBE)

Data for an optimized crystal structure of Pa3Ga2Cu4.

Size of the total moment ... 0.00 μB/cell
Space group ... C2/m
DOS at the Fermi energy ... 1.1364 states/eV per atom
Formation enthalpy at 0 K ... -179 meV per atom
V ... 18.26 Å³ per atom

Unit cell a=5.502 b=5.502 c=8.342 alpha=115.72 beta=115.72 gamma=47.66
Element x y z (fractional)
Pa1 0.000 0.000 0.000
Pa2 0.337 0.337 0.326
Pa3 0.663 0.663 0.674
Ga1 0.384 0.384 0.717
Ga2 0.616 0.616 0.283
Cu1 0.076 0.076 0.412
Cu2 0.293 0.293 0.961
Cu3 0.707 0.707 0.039
Cu4 0.924 0.924 0.588



No. 9
## Pr6Si2SbSe3 (GGA-PBE)

Data for an optimized crystal structure of Pr6Si2SbSe3.

Size of the total moment ... 0.00 μB/cell
Space group ... C2/m
DOS at the Fermi energy ... 0.1933 states/eV per atom
Formation energy from raw total energies ... -1.379 eV/atom
V ... 29.13 Å³ per atom

Unit cell a=9.714 b=9.714 c=8.728 alpha=102.72 beta=102.72 gamma=25.83
Element x y z (fractional)
Pr1 0.005 0.005 0.260
Pr2 0.330 0.330 0.422
Pr3 0.330 0.330 0.902
Pr4 0.670 0.670 0.098
Pr5 0.670 0.670 0.578
Pr6 0.995 0.995 0.740
Si1 0.167 0.167 0.335
Si2 0.833 0.833 0.665
Sb1 0.500 0.500 0.000
Se1 0.165 0.165 0.834
Se2 0.500 0.500 0.500
Se3 0.835 0.835 0.166



No. 10
## Na2In2Bi (GGA-PBE)

Data for an optimized crystal structure of Na2In2Bi.

Size of the total moment ... 0.00 μB/cell
Space group ... P4/mbm
DOS at the Fermi energy ... 0.3380 states/eV per atom
Formation enthalpy at 0 K ... 5 meV per atom
E above lowest polymorph ... 201 meV per atom
V ... 28.70 Å³ per atom

Unit cell a=8.942 b=8.942 c=3.589 alpha=90.00 beta=90.00 gamma=90.00
Element x y z (fractional)
Na1 0.129 0.371 0.000
Na2 0.371 0.871 0.000
Na3 0.629 0.129 0.000
Na4 0.871 0.629 0.000
In1 0.172 0.672 0.500
In2 0.328 0.172 0.500
In3 0.672 0.828 0.500
In4 0.828 0.328 0.500
Bi1 0.000 0.000 0.000
Bi2 0.500 0.500 0.000



No. 11
## CdBrO2 (GGA-PBE)

Data for an optimized crystal structure of CdBrO2.

Size of the total moment ... 0.00 μB/cell
Space group ... Pna2_1
DOS at the Fermi energy ... 0.0000 states/eV per atom
E above lowest polymorph ... 222 meV per atom
Formation energy from raw total energies ... -0.220 eV/atom
V ... 19.26 Å³ per atom

Unit cell a=6.254 b=6.969 c=7.070 alpha=90.00 beta=90.00 gamma=90.00
Element x y z (fractional)
Cd1 0.040 0.085 0.000
Cd2 0.460 0.585 0.500
Cd3 0.540 0.415 0.000
Cd4 0.960 0.915 0.500
Br1 0.071 0.539 0.160
Br2 0.429 0.039 0.660
Br3 0.571 0.961 0.160
Br4 0.929 0.461 0.660
O1 0.095 0.126 0.697
O2 0.136 0.654 0.628
O3 0.364 0.154 0.128
O4 0.405 0.626 0.197
O5 0.595 0.374 0.697
O6 0.636 0.846 0.628
O7 0.864 0.346 0.128
O8 0.905 0.874 0.197



No. 12
## TbPmSm2Tm5 (GGA-PBE)

Data for an optimized crystal structure of TbPmSm2Tm5.

Size of the total moment ... 0.00 μB/cell
Space group ... I4/mcm
DOS at the Fermi energy ... 1.0933 states/eV per atom
Formation enthalpy at 0 K ... 269 meV per atom
V ... 31.84 Å³ per atom

Unit cell a=9.770 b=9.770 c=9.770 alpha=127.22 beta=127.22 gamma=77.89
Element x y z (fractional)
Tb1 0.250 0.750 0.500
Tb2 0.750 0.250 0.500
Pm1 0.250 0.250 0.000
Pm2 0.750 0.750 0.000
Sm1 0.116 0.616 0.732
Sm2 0.384 0.116 0.500
Sm3 0.616 0.884 0.500
Sm4 0.884 0.384 0.268
Tm1 0.000 0.000 0.000
Tm2 0.072 0.154 0.500
Tm3 0.154 0.654 0.082
Tm4 0.346 0.428 0.500
Tm5 0.428 0.928 0.082
Tm6 0.500 0.500 0.000
Tm7 0.572 0.072 0.918
Tm8 0.654 0.572 0.500
Tm9 0.846 0.346 0.918
Tm10 0.928 0.846 0.500